1.
Below is a relaxed structure of Ba2TeSe, with properties calculated at the PBE-GGA level.

a b c (Å): 5.8619 5.8619 4.1517
angles (deg): 90.00 90.00 90.00
With the nearest neighbours (Å) after each atom.
Space group P4/mmm (No. 123)
Inequivalent atoms, fractional coordinates:
Ba  0.0000  0.5000  0.0000 [2 per cell]  4 Se 3.59, 4 Te 3.59
Te  0.0000  0.0000  0.5000 [1 per cell]  8 Ba 3.59
Se  0.5000  0.5000  0.5000 [1 per cell]  8 Ba 3.59

Total moment ... 0.000 μB per atom
Formation energy from raw total energies ... -164.7 kJ/mol of atoms



2.
Below is a relaxed structure of Ba6TeSe5, with properties calculated at the PBE-GGA level.

a b c (Å): 8.2756 14.3231 8.2679
angles (deg): 90.00 109.52 90.00
With the nearest neighbours (Å) after each atom.
Space group C2/m (No. 12)
Inequivalent atoms, fractional coordinates:
Ba  0.2426  0.0000  0.2556 [4 per cell]  5 Se 3.29-3.37, 1 Te 3.47
Ba  0.2437  0.1714  0.7461 [8 per cell]  5 Se 3.31-3.40, 1 Te 3.46
Te  0.0000  0.5000  0.0000 [2 per cell]  6 Ba 3.46-3.47
Se  0.0000  0.0000  0.5000 [2 per cell]  6 Ba 3.29-3.39
Se  0.0000  0.1669  0.0000 [4 per cell]  6 Ba 3.36-3.37
Se  0.0000  0.3350  0.5000 [4 per cell]  6 Ba 3.31-3.40

Total moment ... 0.000 μB per atom
Formation energy from raw total energies ... -192.8 kJ/mol of atoms



3.
Below is a relaxed structure of Ba2TeSe, with properties calculated at the PBE-GGA level.

a b c (Å): 4.1373 4.1371 8.2872
angles (deg): 90.00 90.30 90.00
With the nearest neighbours (Å) after each atom.
Space group P2/m (No. 10)
Inequivalent atoms, fractional coordinates:
Ba  0.0039  0.0000  0.2606 [2 per cell]  4 Se 3.52-3.55, 4 Te 3.63-3.64
Te  0.5000  0.5000  0.0000 [1 per cell]  8 Ba 3.63-3.64
Se  0.5000  0.5000  0.5000 [1 per cell]  8 Ba 3.52-3.55

Total moment ... 0.000 μB per atom
Formation energy from raw total energies ... -165.9 kJ/mol of atoms



4.
Below is a relaxed structure of Ba2TeSe6, with properties calculated at the PBE-GGA level.

a b c (Å): 13.8919 8.1822 5.2343
angles (deg): 90.00 94.76 90.00
With the nearest neighbours (Å) after each atom.
Space group C2/m (No. 12)
Inequivalent atoms, fractional coordinates:
Ba  0.1685  0.0000  0.1933 [4 per cell]  8 Se 3.33-3.46
Te  0.0000  0.5000  0.5000 [2 per cell]  4 Se 2.83
Se  0.0000  0.2751  0.0000 [4 per cell]  2 Se 2.67
Se  0.1386  0.2630  0.6761 [8 per cell]  1 Se 2.67, 1 Te 2.83

Total moment ... 0.000 μB per atom
Formation energy from raw total energies ... -76.4 kJ/mol of atoms



5.
Below is a relaxed structure of BaTeSe2, with properties calculated at the PBE-GGA level.

a b c (Å): 6.8643 8.9251 5.5990
angles (deg): 90.00 127.24 90.00
With the nearest neighbours (Å) after each atom.
Space group C2/m (No. 12)
Inequivalent atoms, fractional coordinates:
Ba  0.0000  0.0000  0.0000 [2 per cell]  4 Se 3.15, 2 Te 3.43
Te  0.0000  0.5000  0.0000 [2 per cell]  4 Se 3.15, 2 Ba 3.43
Se  0.2500  0.2500  0.5000 [4 per cell]  2 Ba 3.15, 2 Te 3.15, 2 Se 3.43

Total moment ... 0.000 μB per atom
Formation energy from raw total energies ... -71.9 kJ/mol of atoms



6.
Below is a relaxed structure of BaTi2TeSe, with properties calculated at the PBE-GGA level.

a b c (Å): 4.8486 4.8486 7.3307
angles (deg): 90.00 90.00 90.00
With the nearest neighbours (Å) after each atom.
Space group P4/mmm (No. 123)
Inequivalent atoms, fractional coordinates:
Ba  0.0000  0.0000  0.0000 [1 per cell]  4 Te 3.43
Ti  0.0000  0.5000  0.5000 [2 per cell]  2 Se 2.42
Te  0.5000  0.5000  0.0000 [1 per cell]  4 Ba 3.43, 2 Se 3.67
Se  0.5000  0.5000  0.5000 [1 per cell]  4 Ti 2.42

Total moment ... 0.740 μB per atom
Formation energy from raw total energies ... -13.6 kJ/mol of atoms



7.
Below is a relaxed structure of Ba2Tl2Te2Se, with properties calculated at the PBE-GGA level.

a b c (Å): 4.4803 8.6033 8.6789
angles (deg): 72.03 75.14 89.98
With the nearest neighbours (Å) after each atom.
Space group P-1 (No. 2)
Inequivalent atoms, fractional coordinates:
Ba  0.0093  0.2398  0.4813 [2 per cell]  2 Se 3.21
Tl  0.2767  0.2255  0.9437 [2 per cell]  3 Te 3.30-3.32
Te  0.3719  0.9399  0.7578 [2 per cell]  3 Tl 3.30-3.32, 4 Ba 3.64-3.66
Se  0.5000  0.5000  0.5000 [1 per cell]  4 Ba 3.21

Total moment ... 0.000 μB per atom
Formation energy from raw total energies ... -105.9 kJ/mol of atoms



8.
Below is a relaxed structure of BaTl2TeSe, with properties calculated at the PBE-GGA level.

a b c (Å): 4.7093 4.8701 8.1470
angles (deg): 90.00 91.18 90.00
With the nearest neighbours (Å) after each atom.
Space group Pm (No. 6)
Inequivalent atoms, fractional coordinates:
Ba  0.0000  0.0000  0.0000 [1 per cell]  2 Se 3.27-3.30, 1 Tl 3.52, 2 Te 3.60
Tl  0.2075  0.5000  0.5601 [1 per cell]  2 Se 3.06, 2 Tl 3.34, 1 Te 3.42
Tl  0.7881  0.0000  0.4121 [1 per cell]  1 Se 2.88
Te  0.4828  0.5000  0.1745 [1 per cell]  3 Tl 3.41-3.42, 4 Ba 3.60-3.75
Se  0.4947  0.0000  0.7194 [1 per cell]  3 Tl 2.88-3.06

Total moment ... 0.000 μB per atom
Formation energy from raw total energies ... -83.9 kJ/mol of atoms



9.
Below is a relaxed structure of BaTlTeSe3, with properties calculated at the PBE-GGA level.

a b c (Å): 6.9481 16.3523 7.2244
angles (deg): 90.00 105.10 90.00
With the nearest neighbours (Å) after each atom.
Space group C2/c (No. 15)
Inequivalent atoms, fractional coordinates:
Ba  0.0000  0.2479  0.2500 [4 per cell]  8 Se 3.40-3.61
Tl  0.0000  0.0426  0.7500 [4 per cell]  4 Se 2.92-3.04
Te  0.0000  0.4064  0.7500 [4 per cell]  3 Se 2.59-2.80
Se  0.0000  0.2478  0.7500 [4 per cell]  1 Te 2.59
Se  0.2473  0.4125  0.5003 [8 per cell]  1 Te 2.80, 2 Tl 2.92-3.04

Total moment ... 0.000 μB per atom
Formation energy from raw total energies ... -70.7 kJ/mol of atoms



10.
Below is a relaxed structure of Ba2UTeSe6, with properties calculated at the PBE-GGA level.

a b c (Å): 13.4098 7.4659 6.7141
angles (deg): 90.00 104.51 90.00
With the nearest neighbours (Å) after each atom.
Space group C2/m (No. 12)
Inequivalent atoms, fractional coordinates:
Ba  0.2045  0.0000  0.2119 [4 per cell]  5 Se 3.32-3.37
U  0.0000  0.5000  0.0000 [2 per cell]  6 Se 2.62-2.74
Te  0.0000  0.0000  0.5000 [2 per cell]  4 Se 2.80
Se  0.0902  0.2470  0.8069 [8 per cell]  1 U 2.74, 1 Te 2.80
Se  0.1723  0.5000  0.2895 [4 per cell]  1 U 2.62

Total moment ... 0.000 μB per atom
Formation energy from raw total energies ... -114.7 kJ/mol of atoms



11.
Below is a relaxed structure of Ba2YTeSe, with properties calculated at the PBE-GGA level.

a b c (Å): 6.2939 6.2939 5.3126
angles (deg): 90.00 90.00 90.00
With the nearest neighbours (Å) after each atom.
Space group P4/mmm (No. 123)
Inequivalent atoms, fractional coordinates:
Ba  0.0000  0.5000  0.0000 [2 per cell]  2 Se 3.15
Y  0.0000  0.0000  0.5000 [1 per cell]  2 Se 2.66
Te  0.5000  0.5000  0.5000 [1 per cell]  8 Ba 4.12, 4 Y 4.45
Se  0.0000  0.0000  0.0000 [1 per cell]  2 Y 2.66

Total moment ... 0.000 μB per atom
Formation energy from raw total energies ... -88.5 kJ/mol of atoms



12.
Below is a relaxed structure of Ba2ZnTeSe5, with properties calculated at the PBE-GGA level.

a b c (Å): 4.2927 19.3271 13.0817
angles (deg): 90.00 90.00 90.00
With the nearest neighbours (Å) after each atom.
Space group Cmc2_1 (No. 36)
Inequivalent atoms, fractional coordinates:
Ba  0.0000  0.1032  0.0000 [4 per cell]  5 Se 3.21-3.35
Ba  0.0000  0.1227  0.6202 [4 per cell]  8 Se 3.23-3.56
Zn  0.0000  0.4346  0.7625 [4 per cell]  3 Se 2.43-2.52
Te  0.0000  0.2173  0.3355 [4 per cell]  6 Se 2.69-2.99
Se  0.0000  0.0637  0.3629 [4 per cell]  2 Zn 2.52
Se  0.0000  0.2745  0.9809 [4 per cell]  2 Te 2.87
Se  0.0000  0.3011  0.6897 [4 per cell]  1 Zn 2.75, 2 Te 2.89
Se  0.0000  0.3558  0.3132 [4 per cell]  1 Te 2.69
Se  0.0000  0.4986  0.6030 [4 per cell]  1 Zn 2.43

Total moment ... 0.000 μB per atom
Formation energy from raw total energies ... -102.8 kJ/mol of atoms



Please write out number 4 again, unchanged.
Below is a relaxed structure of Ba2TeSe6, with properties calculated at the PBE-GGA level.

a b c (Å): 13.8919 8.1822 5.2343
angles (deg): 90.00 94.76 90.00
With the nearest neighbours (Å) after each atom.
Space group C2/m (No. 12)
Inequivalent atoms, fractional coordinates:
Ba  0.1685  0.0000  0.1933 [4 per cell]  8 Se 3.33-3.46
Te  0.0000  0.5000  0.5000 [2 per cell]  4 Se 2.83
Se  0.0000  0.2751  0.0000 [4 per cell]  2 Se 2.67
Se  0.1386  0.2630  0.6761 [8 per cell]  1 Se 2.67, 1 Te 2.83

Total moment ... 0.000 μB per atom
Formation energy from raw total energies ... -76.4 kJ/mol of atoms